(1)
DFT (PBE) results for a relaxed LiBr3O crystal.

POSCAR file:
```
LiBr3O
1.0
-4.336 -1.261 2.343
2.099 -4.375 1.529
1.636 2.270 4.249
O Br Li
1 3 1
Direct
0.500 0.500 0.500
0.000 0.500 0.000
0.000 0.000 0.500
0.500 0.000 0.000
0.000 0.000 0.000
```

Properties
The calculation puts the uncorrected energy at -2.06 eV per atom. The calculation puts the total magnetic moment at 4.0 μB per formula unit. For the energy above the most stable polymorph in this dataset, the calculation gives 0.370 eV per atom. The uncorrected formation energy is 0.319 eV/atom.



(2)
DFT (PBE) results for a relaxed Y6Ge2Se3S crystal.

POSCAR file:
```
Y6Ge2Se3S
1.0
4.096 0.000 0.000
0.000 8.214 0.260
-2.048 -2.405 8.621
Y Ge Se S
6 2 3 1
Direct
0.336 0.909 0.673
0.669 0.575 0.338
0.664 0.091 0.327
0.004 0.242 0.009
0.996 0.758 0.991
0.331 0.425 0.662
0.834 0.669 0.668
0.166 0.331 0.332
0.500 0.500 0.000
0.835 0.166 0.670
0.165 0.834 0.330
0.500 0.000 0.000
```

Properties
The calculation puts the uncorrected energy at -6.82 eV per atom. The calculation puts the total magnetic moment at 0.0 μB per formula unit. The uncorrected formation energy is -1.600 eV/atom.